1.
Computed, not measured: a geometry-optimized CaTbHoMg structure at the PBE level of DFT.

Structure (extended XYZ):
```
4
Lattice="-2.160 -3.751 -3.509 2.923 -4.542 -1.369 -1.573 -5.000 1.889" Properties=species:S:1:pos:R:3 pbc="T T T"
Ca -0.405 -6.646 -1.495
Ho -0.203 -3.323 -0.747
Tb -0.608 -9.969 -2.242
Mg 0.000 0.000 0.000
```

Summary:
As for the formation enthalpy at 0 K: 0.087 eV per atom.

=====

2.
Computed, not measured: a geometry-optimized Ca3Ho3MgTe8 structure at the PBE level of DFT.

Structure (extended XYZ):
```
15
Lattice="8.742 0.000 0.000 -4.371 7.571 -0.027 0.000 -5.021 7.329" Properties=species:S:1:pos:R:3 pbc="T T T"
Ho -2.186 1.275 3.651
Ho 4.371 -2.511 3.664
Ho 2.185 1.275 3.651
Mg 0.000 -2.510 3.664
Te 4.371 0.019 5.430
Te 4.371 2.556 1.917
Te 2.163 -1.268 1.930
Te 0.000 -0.007 5.385
Te 6.579 -1.268 1.930
Te 0.000 2.530 1.872
Te 2.208 3.817 5.372
Te -2.208 3.818 5.372
Ca 2.185 3.785 -0.013
Ca 0.000 0.000 0.000
Ca -2.186 3.785 -0.013
```

Summary:
For the uncorrected formation energy, the calculation gives -1385 meV per atom.

=====

| no. | total energy (eV for the cell shown) |
| --- | --- |
| 1 | -12.46 |
| 2 | -67.24 |